Entry from Alexandria: a geometry-optimized PmHo2Tm4 structure (GGA-PBE).

Output
density of states at the Fermi level = 10.36 states/eV/cell
E above lowest polymorph = 0.0 kJ/mol of formula units
magnetization = 0.00 μB/f.u.
raw total energy = -4.50 eV/atom

Cell: 3.4956 9.3344 8.4170 Å, 121.61 78.03 111.96°
Last column: nearest neighbours and their distance in Å.
Element x y z (fractional)
Pm 0.0000 0.0000 0.0000  2 Ho 3.31, 2 Pm 3.50, 4 Tm 3.54
Ho 0.3599 0.4298 0.1403  1 Ho 3.09, 3 Tm 3.27-3.46, 1 Pm 3.31
Ho 0.6401 0.5702 0.8597  1 Ho 3.09, 3 Tm 3.27-3.46, 1 Pm 3.31
Tm 0.4108 0.7059 0.5888  3 Ho 3.27-3.46, 7 Tm 3.50-3.64, 2 Pm 3.54
Tm 0.8097 0.1658 0.7140  7 Tm 3.50-3.71, 4 Ho 3.55-3.56, 2 Pm 3.74
Tm 0.5892 0.2941 0.4112  3 Ho 3.27-3.46, 7 Tm 3.50-3.64, 2 Pm 3.54
Tm 0.1903 0.8342 0.2860  7 Tm 3.50-3.71, 4 Ho 3.55-3.56, 2 Pm 3.74


Entry from Alexandria: a geometry-optimized PmHo3Tm6 structure (GGA-PBE).

Output
density of states at the Fermi level = 19.53 states/eV/cell
E above lowest polymorph = 142.6 kJ/mol of formula units
magnetization = 0.00 μB/f.u.
raw total energy = -4.23 eV/atom

Cell: 9.7091 9.7091 6.8067 Å, 44.50 44.50 60.00°
Last column: nearest neighbours and their distance in Å.
Element x y z (fractional)
Pm 0.8965 0.8965 0.3106  2 Ho 2.85-2.99
Ho 0.3943 0.3943 0.8172  2 Ho 2.83-2.91
Ho 0.6387 0.6387 0.0839  1 Ho 2.83, 1 Pm 2.99
Ho 0.1426 0.1426 0.5721  1 Pm 2.85, 1 Ho 2.91
Tm 0.9077 0.5679 0.2870  1 Pm 3.25, 2 Ho 3.35-3.39
Tm 0.2373 0.9077 0.2870  1 Pm 3.25, 2 Ho 3.35-3.39
Tm 0.5679 0.2373 0.2870  1 Pm 3.25, 2 Ho 3.35-3.39
Tm 0.0712 0.4085 0.7850  3 Ho 3.23-3.42
Tm 0.7353 0.0712 0.7850  3 Ho 3.23-3.42
Tm 0.4085 0.7353 0.7850  3 Ho 3.23-3.42


Entry from Alexandria: a geometry-optimized PmHo4Tm5 structure (GGA-PBE).

Output
density of states at the Fermi level = 16.29 states/eV/cell
E above lowest polymorph = 0.0 kJ/mol of formula units
magnetization = 0.00 μB/f.u.
raw total energy = -4.48 eV/atom

Cell: 3.5232 6.6959 14.2371 Å, 95.75 101.10 106.76°
Last column: nearest neighbours and their distance in Å.
Element x y z (fractional)
Pm 0.5000 0.0000 0.0000  4 Ho 3.25-3.51, 2 Tm 3.35, 2 Pm 3.52
Ho 0.4132 0.8088 0.2182  5 Ho 3.41-3.53, 5 Tm 3.42-3.67, 1 Pm 3.51
Ho 0.8383 0.7281 0.8038  1 Pm 3.25, 4 Tm 3.38-3.56, 5 Ho 3.41-3.53
Ho 0.5868 0.1912 0.7818  5 Ho 3.41-3.53, 5 Tm 3.42-3.67, 1 Pm 3.51
Ho 0.1617 0.2719 0.1962  1 Pm 3.25, 4 Tm 3.38-3.56, 5 Ho 3.41-3.53
Tm 0.9512 0.5733 0.3872  4 Ho 3.42-3.55, 8 Tm 3.43-3.59
Tm 0.2414 0.1193 0.4167  3 Ho 3.38-3.60, 9 Tm 3.44-3.59
Tm 0.7586 0.8807 0.5833  3 Ho 3.38-3.60, 9 Tm 3.44-3.59
Tm 0.5000 0.5000 0.0000  2 Pm 3.35, 2 Tm 3.52, 4 Ho 3.56-3.67
Tm 0.0488 0.4267 0.6128  4 Ho 3.42-3.55, 8 Tm 3.43-3.59


Entry from Alexandria: a geometry-optimized Pm4Ho4Tm structure (GGA-PBE).

Output
density of states at the Fermi level = 13.70 states/eV/cell
E above lowest polymorph = 0.0 kJ/mol of formula units
magnetization = 0.00 μB/f.u.
raw total energy = -4.62 eV/atom

Cell: 5.0540 8.0008 8.0008 Å, 84.27 71.59 71.59°
Last column: nearest neighbours and their distance in Å.
Element x y z (fractional)
Pm 0.6691 0.3309 0.3310  1 Tm 3.55, 6 Ho 3.56-3.59, 5 Pm 3.60-3.63
Pm 0.3309 0.6691 0.6690  1 Tm 3.55, 6 Ho 3.56-3.59, 5 Pm 3.60-3.63
Pm 0.0000 0.6690 0.3309  1 Tm 3.55, 6 Ho 3.56-3.59, 5 Pm 3.60-3.63
Pm 0.0000 0.3310 0.6691  1 Tm 3.55, 6 Ho 3.56-3.59, 5 Pm 3.60-3.63
Ho 0.6657 0.6686 0.0000  4 Ho 3.56-3.60, 6 Pm 3.56-3.59, 2 Tm 3.57
Ho 0.3343 0.3314 0.0000  4 Ho 3.56-3.60, 6 Pm 3.56-3.59, 2 Tm 3.57
Ho 0.6657 0.0000 0.6686  4 Ho 3.56-3.60, 6 Pm 3.56-3.59, 2 Tm 3.57
Ho 0.3343 0.0000 0.3314  4 Ho 3.56-3.60, 6 Pm 3.56-3.59, 2 Tm 3.57
Tm 0.0000 0.0000 0.0000  4 Pm 3.55, 8 Ho 3.57